No. 1
A geometry-optimized ScAl2As structure, computed with GGA-PBE.

POSCAR file:
```
ScAl2As
1.0
1.796 1.037 7.453
-1.796 1.037 7.453
0.000 -2.074 7.453
Sc Al As
1 2 1
direct
0.000 0.000 0.000 Sc
0.233 0.233 0.233 Al
0.476 0.476 0.476 Al
0.743 0.743 0.743 As
```

## Properties
Calculated formation energy = -0.249 eV/atom
Size of the total moment = 0.0 μB per cell
Space group = R3m
V = 20.82 Å³/atom
Uncorrected energy = -4.8655 eV/atom



No. 2
A geometry-optimized CsTl2Re structure, computed with GGA-PBE.

POSCAR file:
```
CsTl2Re
1.0
-3.783 3.783 7.098
3.783 -3.783 7.098
3.783 3.783 -7.098
Cs Tl Re
2 4 2
direct
0.000 0.000 0.000 Cs
0.750 0.250 0.500 Cs
0.374 0.625 0.249 Tl
0.375 0.624 0.749 Tl
0.376 0.125 0.751 Tl
0.875 0.626 0.251 Tl
0.250 0.750 0.500 Re
0.500 0.500 0.000 Re
```

## Properties
Calculated formation energy = 0.904 eV/atom
Size of the total moment = 0.0 μB per cell
Space group = I-42d
V = 50.79 Å³/atom
Uncorrected energy = -3.6049 eV/atom